DFT (PBE-GGA) results for V7Pd6Pt16 after structural relaxation.

Cell: 8.654 8.654 8.654 Å, 60.00 60.00 60.00°
Fractional coordinates of all 29 atoms:
V: 0.000 0.000 0.000
V: 0.000 0.000 0.500
V: 0.000 0.500 0.000
V: 0.000 0.500 0.500
V: 0.500 0.000 0.000
V: 0.500 0.000 0.500
V: 0.500 0.500 0.000
Pd: 0.299 0.299 0.701
Pd: 0.299 0.701 0.299
Pd: 0.299 0.701 0.701
Pd: 0.701 0.299 0.299
Pd: 0.701 0.299 0.701
Pd: 0.701 0.701 0.299
Pt: 0.017 0.661 0.661
Pt: 0.119 0.119 0.119
Pt: 0.119 0.119 0.644
Pt: 0.119 0.644 0.119
Pt: 0.339 0.339 0.339
Pt: 0.339 0.339 0.983
Pt: 0.339 0.983 0.339
Pt: 0.356 0.881 0.881
Pt: 0.644 0.119 0.119
Pt: 0.661 0.017 0.661
Pt: 0.661 0.661 0.017
Pt: 0.661 0.661 0.661
Pt: 0.881 0.356 0.881
Pt: 0.881 0.881 0.356
Pt: 0.881 0.881 0.881
Pt: 0.983 0.339 0.339

## Properties
E_tot: -6.893 eV per atom
space-group type: Fm-3m
D(E_F): 25.5 states/eV per cell